Crystalline BaMnIF2 at its relaxed geometry, computed with GGA+U.

The structure in CIF format:
```
data_BaMnIF2
_chemical_formula_sum 'Ba1 Mn1 I1 F2'
_cell_length_a 4.882
_cell_length_b 4.882
_cell_length_c 9.143
_cell_angle_alpha 90.00
_cell_angle_beta 90.00
_cell_angle_gamma 90.00
_space_group_name_H-M_alt 'P 1'
_space_group_IT_number 1
_space_group_name_Hall 'P 1'
loop_
_atom_site_label
_atom_site_fract_x
_atom_site_fract_y
_atom_site_fract_z
_atom_site_occupancy
Ba1 0.000 0.000 0.000 1
Mn1 0.000 0.000 0.500 1
I1 0.500 0.500 0.500 1
F1 0.000 0.500 0.000 1
F2 0.500 0.000 0.000 1
```

Summary:
DOS(E_F) (states/eV per cell): 0.693
Final energy (Ry/atom): -0.347